VASP calculation (PBE) on BC2I after structural relaxation.

```
4
Lattice="0.0000 2.8305 2.8305 2.8305 0.0000 2.8305 2.8305 2.8305 0.0000" Properties=species:S:1:pos:R:3 pbc="T T T"
B 0.0000 0.0000 0.0000
C 1.4153 1.4153 1.4153
C 4.2458 4.2458 4.2458
I 2.8305 2.8305 2.8305
```

* symmetry: Fm-3m
* energy relative to the lowest polymorph listed for this composition: 1.890 eV/atom
* formation energy (no corrections): 3448 meV/atom
* N(E_F): 0.440 states/eV/atom